Density functional theory data (PBE) for a relaxed structure of PuPd6Au5.

## Properties
crystal system: monoclinic
spin magnetization: 4.53 μB/cell
energy of formation from the pure elements: -249.1 meV per atom

The structure in CIF format:
```
data_PuPd6Au5
_chemical_formula_sum 'Pu1 Pd6 Au5'
_space_group_name_H-M_alt 'P 1 2/m 1'
_space_group_IT_number 10
_cell_length_a 4.853
_cell_length_b 6.070
_cell_length_c 7.107
_cell_angle_alpha 90.00
_cell_angle_beta 96.34
_cell_angle_gamma 90.00
loop_
_space_group_symop_operation_xyz
'x,y,z'
'-x,-y,-z'
'-x,y,-z'
'x,-y,z'
loop_
_atom_site_label
_atom_site_type_symbol
_atom_site_fract_x
_atom_site_fract_y
_atom_site_fract_z
Pu1 Pu 0.000 0.000 0.000
Pd1 Pd 0.160 0.251 0.334
Pd2 Pd 0.500 0.254 0.000
Au1 Au 0.000 0.500 0.000
Au2 Au 0.339 0.500 0.670
Au3 Au 0.342 0.000 0.666
```